This record from Alexandria via LeMat-Bulk describes crystalline Er2PuP at its relaxed geometry. The functional is GGA-PBE.

DFT formation energy = -0.393 eV per atom
Spin magnetization = 19.1 μB/cell
Density of states at the Fermi level = 10.29 states/eV/f.u.

Unit cell a=3.6596 b=3.6596 c=30.1591 alpha=90.00 beta=90.00 gamma=120.00
Space group R-3m (No. 166, hexagonal axes)
Asymmetric unit:
1 Er 0.0000 0.0000 0.1120
2 Pu 0.0000 0.0000 0.0000
3 P 0.0000 0.0000 0.5000

This record from Alexandria via LeMat-Bulk describes crystalline ErPuPS at its relaxed geometry. The functional is GGA-PBE.

Spin magnetization = 16.3 μB/cell
Formation energy (no corrections) = -1.68 eV/atom
Density of states at the Fermi level = 8.16 states/eV/f.u.

Unit cell a=3.9693 b=3.9693 c=19.2384 alpha=90.00 beta=90.00 gamma=120.00
Space group R3m (No. 160, hexagonal axes)
Asymmetric unit:
1 Er 0.0000 0.0000 0.0000
2 Pu 0.0000 0.0000 0.4977
3 P 0.0000 0.0000 0.7480
4 S 0.0000 0.0000 0.2499

This record from Alexandria via LeMat-Bulk describes crystalline ErPu2ScP4 at its relaxed geometry. The functional is GGA-PBE.

DFT formation energy = -1.309 eV per atom
Spin magnetization = 0.1 μB/cell
Density of states at the Fermi level = 22.53 states/eV/f.u.

Unit cell a=6.7681 b=3.9417 c=6.8022 alpha=90.00 beta=109.75 gamma=90.00
Space group P2/m (No. 10)
Asymmetric unit:
1 Er 0.0000 0.0000 0.0000
2 Pu 0.5000 0.0000 0.5000
3 Pu 0.5000 0.5000 0.0000
4 Sc 0.0000 0.5000 0.5000
5 P 0.2429 0.0000 0.7426
6 P 0.2469 0.5000 0.2564

This record from Alexandria via LeMat-Bulk describes crystalline Er2PuScP4 at its relaxed geometry. The functional is GGA-PBE.

DFT formation energy = -1.444 eV per atom
Spin magnetization = 4.9 μB/cell
Density of states at the Fermi level = 10.76 states/eV/f.u.

Unit cell a=6.7690 b=3.9340 c=6.7858 alpha=90.00 beta=109.48 gamma=90.00
Space group P2/m (No. 10)
Asymmetric unit:
1 Er 0.0000 0.0000 0.0000
2 Er 0.5000 0.5000 0.0000
3 Pu 0.0000 0.5000 0.5000
4 Sc 0.5000 0.0000 0.5000
5 P 0.2526 0.0000 0.7438
6 P 0.2573 0.5000 0.2592

This record from Alexandria via LeMat-Bulk describes crystalline ErPuPSe at its relaxed geometry. The functional is GGA-PBE.

Spin magnetization = 16.5 μB/cell
Formation energy (no corrections) = -1.58 eV/atom
Density of states at the Fermi level = 9.11 states/eV/f.u.

Unit cell a=4.0386 b=4.0386 c=19.8921 alpha=90.00 beta=90.00 gamma=120.00
Space group R3m (No. 160, hexagonal axes)
Asymmetric unit:
1 Er 0.0000 0.0000 0.0000
2 Pu 0.0000 0.0000 0.4890
3 P 0.0000 0.0000 0.7432
4 Se 0.0000 0.0000 0.2461

This record from Alexandria via LeMat-Bulk describes crystalline Sm2ErPuP4 at its relaxed geometry. The functional is GGA-PBE.

DFT formation energy = -1.465 eV per atom
Spin magnetization = 4.9 μB/cell
Density of states at the Fermi level = 11.87 states/eV/f.u.

Unit cell a=6.9844 b=4.0484 c=6.9960 alpha=90.00 beta=109.48 gamma=90.00
Space group P2/m (No. 10)
Asymmetric unit:
1 Sm 0.0000 0.0000 0.0000
2 Sm 0.5000 0.5000 0.0000
3 Er 0.0000 0.5000 0.5000
4 Pu 0.5000 0.0000 0.5000
5 P 0.2480 0.0000 0.7403
6 P 0.2550 0.5000 0.2609

This record from Alexandria via LeMat-Bulk describes crystalline TbEr2PuP4 at its relaxed geometry. The functional is GGA-PBE.

DFT formation energy = -1.487 eV per atom
Spin magnetization = 4.9 μB/cell
Density of states at the Fermi level = 11.47 states/eV/f.u.

Unit cell a=6.8940 b=3.9954 c=6.9008 alpha=90.00 beta=109.50 gamma=90.00
Space group P2/m (No. 10)
Asymmetric unit:
1 Tb 0.0000 0.0000 0.0000
2 Er 0.5000 0.0000 0.5000
3 Er 0.5000 0.5000 0.0000
4 Pu 0.0000 0.5000 0.5000
5 P 0.2497 0.0000 0.7471
6 P 0.2518 0.5000 0.2532

This record from Alexandria via LeMat-Bulk describes crystalline Tb2ErPuP4 at its relaxed geometry. The functional is GGA-PBE.

DFT formation energy = -1.488 eV per atom
Spin magnetization = 4.9 μB/cell
Density of states at the Fermi level = 11.58 states/eV/f.u.

Unit cell a=6.9181 b=4.0096 c=6.9242 alpha=90.00 beta=109.49 gamma=90.00
Space group P2/m (No. 10)
Asymmetric unit:
1 Tb 0.0000 0.0000 0.0000
2 Tb 0.5000 0.5000 0.0000
3 Er 0.0000 0.5000 0.5000
4 Pu 0.5000 0.0000 0.5000
5 P 0.2495 0.0000 0.7454
6 P 0.2531 0.5000 0.2556

This record from Alexandria via LeMat-Bulk describes crystalline ErPuTeP at its relaxed geometry. The functional is GGA-PBE.

Spin magnetization = 16.9 μB/cell
Formation energy (no corrections) = -1.34 eV/atom
Density of states at the Fermi level = 10.05 states/eV/f.u.

Unit cell a=4.1314 b=4.1314 c=21.0712 alpha=90.00 beta=90.00 gamma=120.00
Space group R3m (No. 160, hexagonal axes)
Asymmetric unit:
1 Er 0.0000 0.0000 0.0000
2 Pu 0.0000 0.0000 0.5240
3 Te 0.0000 0.0000 0.7602
4 P 0.0000 0.0000 0.2637

This record from Alexandria via LeMat-Bulk describes crystalline ErPu2UP4 at its relaxed geometry. The functional is GGA-PBE.

DFT formation energy = -1.205 eV per atom
Spin magnetization = 8.8 μB/cell
Density of states at the Fermi level = 23.51 states/eV/f.u.

Unit cell a=6.8536 b=3.9636 c=6.8746 alpha=90.00 beta=109.42 gamma=90.00
Space group P2/m (No. 10)
Asymmetric unit:
1 Er 0.0000 0.0000 0.0000
2 Pu 0.5000 0.0000 0.5000
3 Pu 0.5000 0.5000 0.0000
4 U 0.0000 0.5000 0.5000
5 P 0.2452 0.0000 0.7460
6 P 0.2478 0.5000 0.2538

This record from Alexandria via LeMat-Bulk describes crystalline ErPu3U4P8 at its relaxed geometry. The functional is GGA-PBE.

DFT formation energy = -1.109 eV per atom
Spin magnetization = 25.5 μB/cell
Density of states at the Fermi level = 50.06 states/eV/f.u.

Unit cell a=7.8629 b=7.8629 c=19.5837 alpha=90.00 beta=90.00 gamma=120.00
Space group R-3m (No. 166, hexagonal axes)
Asymmetric unit:
1 Er 0.0000 0.0000 0.0000
2 Pu 0.0000 0.5000 0.0000
3 U 0.0000 0.0000 0.5000
4 U 0.0000 0.5000 0.5000
5 P 0.0000 0.0000 0.2486
6 P 0.0012 0.5006 0.7516

This record from Alexandria via LeMat-Bulk describes crystalline Y2ErPuP4 at its relaxed geometry. The functional is GGA-PBE.

DFT formation energy = -1.496 eV per atom
Spin magnetization = 4.9 μB/cell
Density of states at the Fermi level = 11.61 states/eV/f.u.

Unit cell a=6.9067 b=4.0027 c=6.9109 alpha=90.00 beta=109.50 gamma=90.00
Space group P2/m (No. 10)
Asymmetric unit:
1 Y 0.0000 0.0000 0.0000
2 Y 0.5000 0.5000 0.0000
3 Er 0.0000 0.5000 0.5000
4 Pu 0.5000 0.0000 0.5000
5 P 0.2497 0.0000 0.7461
6 P 0.2529 0.5000 0.2550

This record from Alexandria via LeMat-Bulk describes crystalline YErPu2P4 at its relaxed geometry. The functional is GGA-PBE.

DFT formation energy = -1.353 eV per atom
Spin magnetization = 0.0 μB/cell
Density of states at the Fermi level = 23.76 states/eV/f.u.

Unit cell a=6.8861 b=3.9985 c=6.9072 alpha=90.00 beta=109.71 gamma=90.00
Space group P2/m (No. 10)
Asymmetric unit:
1 Y 0.0000 0.0000 0.0000
2 Er 0.0000 0.5000 0.5000
3 Pu 0.5000 0.0000 0.5000
4 Pu 0.5000 0.5000 0.0000
5 P 0.2525 0.0000 0.7504
6 P 0.2538 0.5000 0.2540

This record from Alexandria via LeMat-Bulk describes crystalline ErPuZr2P4 at its relaxed geometry. The functional is GGA-PBE.

DFT formation energy = -1.409 eV per atom
Spin magnetization = 5.3 μB/cell
Density of states at the Fermi level = 11.51 states/eV/f.u.

Unit cell a=6.6407 b=3.8442 c=6.7047 alpha=90.00 beta=109.28 gamma=90.00
Space group P2/m (No. 10)
Asymmetric unit:
1 Er 0.0000 0.0000 0.0000
2 Pu 0.5000 0.5000 0.0000
3 Zr 0.0000 0.5000 0.5000
4 Zr 0.5000 0.0000 0.5000
5 P 0.2465 0.0000 0.7385
6 P 0.2540 0.5000 0.2617

This record from Alexandria via LeMat-Bulk describes crystalline Er2PuZrP4 at its relaxed geometry. The functional is GGA-PBE.

DFT formation energy = -1.442 eV per atom
Spin magnetization = 5.1 μB/cell
Density of states at the Fermi level = 10.74 states/eV/f.u.

Unit cell a=6.7567 b=3.9112 c=6.7595 alpha=90.00 beta=109.31 gamma=90.00
Space group P2/m (No. 10)
Asymmetric unit:
1 Er 0.0000 0.0000 0.0000
2 Er 0.5000 0.5000 0.0000
3 Pu 0.0000 0.5000 0.5000
4 Zr 0.5000 0.0000 0.5000
5 P 0.2540 0.0000 0.7439
6 P 0.2584 0.5000 0.2591

This record from Alexandria via LeMat-Bulk describes crystalline RbErP at its relaxed geometry. The functional is GGA-PBE.

DFT formation energy = -0.541 eV per atom
Spin magnetization = 0.0 μB/cell
Density of states at the Fermi level = 1.29 states/eV/f.u.

Unit cell a=4.2532 b=4.2532 c=7.6877 alpha=90.00 beta=90.00 gamma=120.00
Space group P3m1 (No. 156)
Asymmetric unit:
1 Rb 0.0000 0.0000 0.0000
2 Er 0.3333 0.6667 0.4576
3 P 0.6667 0.3333 0.3210

This record from Alexandria via LeMat-Bulk describes crystalline RbErP at its relaxed geometry. The functional is GGA-PBE.

DFT formation energy = -0.304 eV per atom
Spin magnetization = 0.0 μB/cell
Density of states at the Fermi level = 1.76 states/eV/f.u.

Unit cell a=7.4190 b=7.4190 c=5.4828 alpha=90.00 beta=90.00 gamma=120.00
Space group P-62m (No. 189)
Asymmetric unit:
1 Rb 0.0000 0.4449 0.0000
2 Er 0.0000 0.7405 0.5000
3 P 0.0000 0.0000 0.0000
4 P 0.3333 0.6667 0.5000

This record from Alexandria via LeMat-Bulk describes crystalline ErReP at its relaxed geometry. The functional is GGA-PBE.

DFT formation energy = -0.474 eV per atom
Spin magnetization = 0.0 μB/cell
Density of states at the Fermi level = 2.64 states/eV/f.u.

Unit cell a=4.1276 b=4.1276 c=3.7687 alpha=90.00 beta=90.00 gamma=120.00
Space group P-6m2 (No. 187)
Asymmetric unit:
1 Er 0.0000 0.0000 0.0000
2 Re 0.6667 0.3333 0.5000
3 P 0.3333 0.6667 0.5000

This record from Alexandria via LeMat-Bulk describes crystalline Er2PRh6 at its relaxed geometry. The functional is GGA-PBE.

DFT formation energy = -0.869 eV per atom
Spin magnetization = 0.0 μB/cell
Density of states at the Fermi level = 8.41 states/eV/f.u.

Unit cell a=8.3831 b=8.3831 c=8.3831 alpha=90.00 beta=90.00 gamma=90.00
Space group Fm-3m (No. 225)
Asymmetric unit:
1 Er 0.2500 0.2500 0.2500
2 P 0.0000 0.0000 0.0000
3 Rh 0.0000 0.0000 0.2663

This record from Alexandria via LeMat-Bulk describes crystalline Er3P2Rh5 at its relaxed geometry. The functional is GGA-PBE.

DFT formation energy = -0.984 eV per atom
Spin magnetization = 0.0 μB/cell
Density of states at the Fermi level = 6.01 states/eV/f.u.

Unit cell a=9.7466 b=9.7466 c=3.6062 alpha=90.00 beta=90.00 gamma=90.00
Space group P4/mbm (No. 127)
Asymmetric unit:
1 Er 0.0000 0.0000 0.0000
2 Er 0.1720 0.3280 0.0000
3 P 0.1259 0.6259 0.0000
4 Rh 0.0000 0.5000 0.5000
5 Rh 0.0695 0.7773 0.5000

This record from Alexandria via LeMat-Bulk describes crystalline ErPRh3 at its relaxed geometry. The functional is GGA-PBE.

DFT formation energy = -0.763 eV per atom
Spin magnetization = 0.0 μB/cell
Density of states at the Fermi level = 2.28 states/eV/f.u.
Energy above the lowest structure with this stoichiometry = 142 meV per atom

Unit cell a=8.5213 b=8.7319 c=9.1494 alpha=90.00 beta=90.00 gamma=90.00
Space group Cmcm (No. 63)
Asymmetric unit:
1 Er 0.0000 0.0004 0.2500
2 Er 0.0000 0.4259 0.2500
3 P 0.2500 0.2500 0.0000
4 Rh 0.0000 0.1769 0.5037
5 Rh 0.1779 0.5000 0.0000
6 Rh 0.1894 0.2877 0.7500

This record from Alexandria via LeMat-Bulk describes crystalline ErP2Rh at its relaxed geometry. The functional is GGA-PBE.

DFT formation energy = -1.013 eV per atom
Spin magnetization = 0.0 μB/cell
Density of states at the Fermi level = 0.66 states/eV/f.u.

Unit cell a=3.8448 b=3.8448 c=16.0760 alpha=90.00 beta=90.00 gamma=120.00
Space group R-3m (No. 166, hexagonal axes)
Asymmetric unit:
1 Er 0.0000 0.0000 0.0000
2 P 0.0000 0.0000 0.2312
3 Rh 0.0000 0.0000 0.5000

This record from Alexandria via LeMat-Bulk describes crystalline Er2P4Rh5 at its relaxed geometry. The functional is GGA-PBE.

DFT formation energy = -0.872 eV per atom
Spin magnetization = 0.0 μB/cell
Density of states at the Fermi level = 4.66 states/eV/f.u.

Unit cell a=5.4030 b=9.5074 c=14.1116 alpha=90.00 beta=90.00 gamma=90.00
Space group Fmmm (No. 69)
Asymmetric unit:
1 Er 0.0000 0.0000 0.1332
2 P 0.0000 0.1557 0.3706
3 Rh 0.0000 0.0000 0.5000
4 Rh 0.2500 0.2500 0.0000
5 Rh 0.2500 0.2500 0.2500